{
  "formula": "ZnCuCl2",
  "functional": "GGA-PBE",
  "state": "relaxed",
  "lattice_angstrom": [[4.0573, 0.1998, 0.2863], [2.3703, 3.2989, 0.2863], [2.7485, 1.4961, 6.8526]],
  "species": ["Zn", "Cu", "Cl", "Cl"],
  "frac_coords": [[0.2500, 0.2500, 0.2500], [0.7500, 0.7500, 0.7500], [0.0380, 0.0380, 0.9669], [0.4620, 0.4620, 0.5331]],
  "total_energy_ev_per_cell": -10.0,
  "e_above_lowest_polymorph_mev_per_atom": 206,
  "e_form_raw_ev_per_atom": -0.23,
  "volume_a3_per_cell": 85
}